Here is a relaxed structure of RbAlCBr2 from Alexandria. Energies are from GGA-PBEsol.

abc: 5.762 5.762 3.696
angles: 90.00 90.00 90.00
Sites, in units of the cell vectors:
1 Rb 0.000 0.000 0.000
2 Al 0.500 0.500 0.000
3 C 0.500 0.500 0.500
4 Br 0.000 0.500 0.500
5 Br 0.500 0.000 0.500

Output
Formation energy (no corrections) ... 0.045 eV/atom
Uncorrected energy ... -3.66 eV/atom
Total magnetic moment ... 0.00 μB per cell
Fermi-level density of states ... 1.48 states/eV/cell
Space group ... P4/mmm (123)
Density ... 3.85 g/cm³